The following is a PBE calculation of ZnTc after structural relaxation, from OQMD via LeMat-Bulk.

Cell: 5.277 4.480 7.413 Å, 90.00 100.07 90.00°
Space group P2_1/m (No. 11)
Symmetry-distinct sites (fractional):
Zn: 0.136 0.250 0.065 (multiplicity 2)
Zn: 0.305 0.250 0.733 (multiplicity 2)
Zn: 0.356 0.750 0.941 (multiplicity 2)
Tc: 0.044 0.750 0.600 (multiplicity 2)
Tc: 0.198 0.750 0.276 (multiplicity 2)
Tc: 0.488 0.250 0.395 (multiplicity 2)

Calculated values
M_tot = 0.002 μB/f.u.
density = 9.44 g/cm3
energy above the most stable polymorph in this dataset = 0.095 eV per atom
formation enthalpy at 0 K = 0.0645 eV/atom



The following is a PBE calculation of HfSi2Hg after structural relaxation, from OQMD via LeMat-Bulk.

Cell: 6.725 6.725 6.725 Å, 90.00 90.00 90.00°
Space group F-43m (No. 216)
Symmetry-distinct sites (fractional):
Hf: 0.000 0.000 0.000 (multiplicity 4)
Si: 0.000 0.000 0.500 (multiplicity 4)
Si: 0.250 0.250 0.750 (multiplicity 4)
Hg: 0.250 0.250 0.250 (multiplicity 4)

Calculated values
M_tot = 0.001 μB/f.u.
density = 9.51 g/cm3
E = -77.81 eV/cell



The following is a PBE calculation of DyGa2Pt2 after structural relaxation, from OQMD via LeMat-Bulk.

Cell: 4.035 4.035 11.604 Å, 90.00 90.00 90.00°
Space group I4/mmm (No. 139)
Symmetry-distinct sites (fractional):
Dy: 0.000 0.000 0.000 (multiplicity 2)
Ga: 0.000 0.500 0.250 (multiplicity 4)
Pt: 0.000 0.000 0.386 (multiplicity 4)

Calculated values
M_tot = 0.003 μB/f.u.
density = 12.16 g/cm3
E = -54.70 eV/cell



The following is a PBE calculation of Tl2Ni3PtS6 after structural relaxation, from OQMD via LeMat-Bulk.

Cell: 6.9005 6.9005 6.0551 Å, 90.00 90.00 120.00°
Space group P-3m1 (No. 164)
Symmetry-distinct sites (fractional):
Tl: 0.3333 0.6667 0.1270 (multiplicity 2)
Ni: 0.0000 0.5000 0.5000 (multiplicity 3)
Pt: 0.0000 0.0000 0.5000 (multiplicity 1)
S: 0.1777 0.3554 0.6814 (multiplicity 6)

Calculated values
M_tot = 0.010 μB/f.u.
density = 6.47 g/cm3
E = -56.94 eV/cell



The following is a PBE calculation of Sc4In3W2N3 after structural relaxation, from OQMD via LeMat-Bulk.

Cell: 9.593 5.590 14.559 Å, 90.00 102.54 90.00°
Space group C2/c (No. 15)
Symmetry-distinct sites (fractional):
Sc: 0.112 0.081 0.086 (multiplicity 8)
Sc: 0.220 0.086 0.414 (multiplicity 8)
In: 0.000 0.107 0.750 (multiplicity 4)
In: 0.155 0.429 0.249 (multiplicity 8)
W: 0.061 0.415 0.927 (multiplicity 8)
N: 0.083 0.249 0.500 (multiplicity 8)
N: 0.250 0.250 0.000 (multiplicity 4)

Calculated values
M_tot = 0.001 μB/f.u.
density = 8.14 g/cm3
E = -376.21 eV/cell



The following is a PBE calculation of TmMgZr after structural relaxation, from OQMD via LeMat-Bulk.

Cell: 6.993 6.993 6.993 Å, 90.00 90.00 90.00°
Space group F-43m (No. 216)
Symmetry-distinct sites (fractional):
Tm: 0.000 0.000 0.000 (multiplicity 4)
Mg: 0.250 0.250 0.250 (multiplicity 4)
Zr: 0.000 0.000 0.500 (multiplicity 4)

Calculated values
M_tot = 1.116 μB/f.u.
density = 5.53 g/cm3
energy above the most stable polymorph in this dataset = 0.000 eV per atom



The following is a PBE calculation of SrLaNb after structural relaxation, from OQMD via LeMat-Bulk.

Cell: 7.661 7.661 7.661 Å, 90.00 90.00 90.00°
Space group F-43m (No. 216)
Symmetry-distinct sites (fractional):
Sr: 0.000 0.000 0.000 (multiplicity 4)
La: 0.000 0.000 0.500 (multiplicity 4)
Nb: 0.250 0.250 0.750 (multiplicity 4)

Calculated values
M_tot = 3.189 μB/f.u.
density = 4.72 g/cm3
energy above the most stable polymorph in this dataset = 0.000 eV per atom



The following is a PBE calculation of DyBr2O2 after structural relaxation, from OQMD via LeMat-Bulk.

Cell: 6.934 6.937 7.314 Å, 100.24 101.24 115.77°
Space group P-1 (No. 2)
Symmetry-distinct sites (fractional):
Dy: 0.169 0.331 0.000 (multiplicity 2)
Br: 0.011 0.089 0.263 (multiplicity 2)
Br: 0.408 0.493 0.737 (multiplicity 2)
O: 0.092 0.589 0.188 (multiplicity 2)
O: 0.189 0.688 0.062 (multiplicity 2)

Calculated values
M_tot = 0.002 μB/f.u.
density = 3.97 g/cm3
E = -50.81 eV/cell



The following is a PBE calculation of HoPAuO after structural relaxation, from OQMD via LeMat-Bulk.

Cell: 3.783 7.404 5.922 Å, 90.00 90.00 90.00°
Space group Pmc2_1 (No. 26)
Symmetry-distinct sites (fractional):
Ho: 0.000 0.227 0.000 (multiplicity 2)
P: 0.000 0.151 0.501 (multiplicity 2)
Au: 0.500 0.337 0.511 (multiplicity 2)
O: 0.500 0.353 0.010 (multiplicity 2)

Calculated values
M_tot = 0.003 μB/f.u.
density = 8.19 g/cm3
energy above the most stable polymorph in this dataset = 0.319 eV per atom



The following is a PBE calculation of NbGaAsO after structural relaxation, from OQMD via LeMat-Bulk.

Cell: 3.942 3.942 8.202 Å, 90.00 90.00 90.00°
Space group P4/nmm (No. 129, origin choice 2)
Symmetry-distinct sites (fractional):
Nb: 0.250 0.750 0.000 (multiplicity 2)
Ga: 0.250 0.250 0.409 (multiplicity 2)
As: 0.250 0.250 0.786 (multiplicity 2)
O: 0.250 0.750 0.500 (multiplicity 2)

Calculated values
M_tot = 0.028 μB/f.u.
density = 6.61 g/cm3
energy above the most stable polymorph in this dataset = 0.348 eV per atom



The following is a PBE calculation of NdAl2Cu2Pd after structural relaxation, from OQMD via LeMat-Bulk.

Cell: 5.332 9.180 4.214 Å, 90.00 90.00 90.00°
Space group Cmmm (No. 65)
Symmetry-distinct sites (fractional):
Nd: 0.000 0.000 0.000 (multiplicity 2)
Al: 0.250 0.250 0.500 (multiplicity 4)
Cu: 0.000 0.325 0.000 (multiplicity 4)
Pd: 0.000 0.500 0.500 (multiplicity 2)

Calculated values
M_tot = 0.004 μB/f.u.
density = 6.95 g/cm3
E = -56.34 eV/cell



The following is a PBE calculation of HfFePdPb after structural relaxation, from OQMD via LeMat-Bulk.

Cell: 6.563 6.563 6.563 Å, 90.00 90.00 90.00°
Space group F-43m (No. 216)
Symmetry-distinct sites (fractional):
Hf: 0.000 0.000 0.000 (multiplicity 4)
Fe: 0.250 0.250 0.750 (multiplicity 4)
Pd: 0.250 0.250 0.250 (multiplicity 4)
Pb: 0.000 0.000 0.500 (multiplicity 4)

Calculated values
M_tot = 1.690 μB/f.u.
density = 12.88 g/cm3
energy above the most stable polymorph in this dataset = 0.000 eV per atom



The following is a PBE calculation of Gd3Mg3GaHg2 after structural relaxation, from OQMD via LeMat-Bulk.

Cell: 7.5462 7.5462 4.4665 Å, 90.00 90.00 120.00°
Space group P-62m (No. 189)
Symmetry-distinct sites (fractional):
Gd: 0.0000 0.4118 0.0000 (multiplicity 3)
Mg: 0.0000 0.7603 0.5000 (multiplicity 3)
Ga: 0.0000 0.0000 0.0000 (multiplicity 1)
Hg: 0.3333 0.6667 0.5000 (multiplicity 2)

Calculated values
M_tot = 0.001 μB/f.u.
density = 7.66 g/cm3
E = -25.97 eV/cell



The following is a PBE calculation of ScCuSnPt after structural relaxation, from OQMD via LeMat-Bulk.

Cell: 6.558 6.558 6.558 Å, 90.00 90.00 90.00°
Space group F-43m (No. 216)
Symmetry-distinct sites (fractional):
Sc: 0.000 0.000 0.000 (multiplicity 4)
Cu: 0.000 0.000 0.500 (multiplicity 4)
Sn: 0.250 0.250 0.250 (multiplicity 4)
Pt: 0.250 0.250 0.750 (multiplicity 4)

Calculated values
M_tot = 0.002 μB/f.u.
density = 9.94 g/cm3
energy above the most stable polymorph in this dataset = 0.188 eV per atom



The following is a PBE calculation of LiCo3N5 after structural relaxation, from OQMD via LeMat-Bulk.

Cell: 4.9066 4.9066 3.8388 Å, 90.00 90.00 120.00°
Space group P6/mmm (No. 191)
Symmetry-distinct sites (fractional):
Li: 0.0000 0.0000 0.0000 (multiplicity 1)
Co: 0.0000 0.5000 0.5000 (multiplicity 3)
N: 0.0000 0.0000 0.5000 (multiplicity 1)
N: 0.3333 0.6667 0.1662 (multiplicity 4)

Calculated values
M_tot = 1.453 μB/f.u.
density = 5.27 g/cm3
E = -62.01 eV/cell



The following is a PBE calculation of BaSc2Cd2 after structural relaxation, from OQMD via LeMat-Bulk.

Cell: 6.430 6.438 14.486 Å, 90.00 90.00 90.00°
Space group Fmmm (No. 69)
Symmetry-distinct sites (fractional):
Ba: 0.000 0.000 0.000 (multiplicity 4)
Sc: 0.250 0.250 0.250 (multiplicity 8)
Cd: 0.000 0.000 0.391 (multiplicity 8)

Calculated values
M_tot = 1.537 μB/f.u.
density = 5.01 g/cm3
E = -66.27 eV/cell



The following is a PBE calculation of LuCd2Si after structural relaxation, from OQMD via LeMat-Bulk.

Cell: 6.968 6.968 6.968 Å, 90.00 90.00 90.00°
Space group F-43m (No. 216)
Symmetry-distinct sites (fractional):
Lu: 0.000 0.000 0.000 (multiplicity 4)
Cd: 0.000 0.000 0.500 (multiplicity 4)
Cd: 0.250 0.250 0.250 (multiplicity 4)
Si: 0.250 0.250 0.750 (multiplicity 4)

Calculated values
M_tot = 0.036 μB/f.u.
density = 8.40 g/cm3
E = -47.47 eV/cell



The following is a PBE calculation of LaNdI3N after structural relaxation, from OQMD via LeMat-Bulk.

Cell: 20.482 4.150 12.844 Å, 90.00 126.07 90.00°
Space group C2/m (No. 12)
Symmetry-distinct sites (fractional):
La: 0.071 0.000 0.462 (multiplicity 4)
Nd: 0.133 0.500 0.776 (multiplicity 4)
I: 0.032 0.500 0.240 (multiplicity 4)
I: 0.169 0.000 0.006 (multiplicity 4)
I: 0.220 0.500 0.630 (multiplicity 4)
N: 0.071 0.000 0.647 (multiplicity 4)

Calculated values
M_tot = 0.003 μB/f.u.
density = 5.10 g/cm3
energy above the most stable polymorph in this dataset = 0.024 eV per atom



The following is a PBE calculation of ErP2 after structural relaxation, from OQMD via LeMat-Bulk.

Cell: 5.552 5.502 8.410 Å, 90.00 101.40 90.00°
Space group P2_1/c (No. 14)
Symmetry-distinct sites (fractional):
Er: 0.209 0.046 0.325 (multiplicity 4)
P: 0.178 0.526 0.463 (multiplicity 4)
P: 0.286 0.661 0.129 (multiplicity 4)

Calculated values
M_tot = 0.003 μB/f.u.
density = 6.05 g/cm3
E = -71.32 eV/cell



The following is a PBE calculation of Fe3Pd3Cl2 after structural relaxation, from OQMD via LeMat-Bulk.

Cell: 3.552 3.552 12.774 Å, 90.00 90.00 90.00°
Space group P-4m2 (No. 115)
Symmetry-distinct sites (fractional):
Fe: 0.000 0.000 0.000 (multiplicity 1)
Fe: 0.000 0.000 0.175 (multiplicity 2)
Pd: 0.000 0.000 0.500 (multiplicity 1)
Pd: 0.500 0.500 0.000 (multiplicity 1)
Pd: 0.500 0.500 0.500 (multiplicity 1)
Cl: 0.000 0.500 0.714 (multiplicity 2)

Calculated values
M_tot = 9.397 μB/f.u.
density = 5.74 g/cm3
E = -39.95 eV/cell



The following is a PBE calculation of NdCo after structural relaxation, from OQMD via LeMat-Bulk.

Cell: 3.6922 3.6922 10.9523 Å, 90.00 90.00 120.00°
Space group R-3m (No. 166, hexagonal axes)
Symmetry-distinct sites (fractional):
Nd: 0.0000 0.0000 0.0000 (multiplicity 3)
Co: 0.0000 0.0000 0.5000 (multiplicity 3)

Calculated values
M_tot = 0.172 μB/f.u.
density = 7.83 g/cm3
formation enthalpy at 0 K = 0.3014 eV/atom



The following is a PBE calculation of LiScPt2 after structural relaxation, from OQMD via LeMat-Bulk.

Cell: 3.276 3.276 5.833 Å, 90.00 90.00 90.00°
Space group P4/mmm (No. 123)
Symmetry-distinct sites (fractional):
Li: 0.000 0.000 0.000 (multiplicity 1)
Sc: 0.000 0.000 0.500 (multiplicity 1)
Pt: 0.500 0.500 0.238 (multiplicity 2)

Calculated values
M_tot = 0.002 μB/f.u.
density = 11.72 g/cm3
energy above the most stable polymorph in this dataset = 0.000 eV per atom



The following is a PBE calculation of MgPd2O4 after structural relaxation, from OQMD via LeMat-Bulk.

Cell: 8.715 8.715 8.715 Å, 90.00 90.00 90.00°
Space group Fd-3m (No. 227, origin choice 2)
Symmetry-distinct sites (fractional):
Mg: 0.125 0.125 0.125 (multiplicity 8)
Pd: 0.000 0.000 0.500 (multiplicity 16)
O: 0.008 0.008 0.742 (multiplicity 32)

Calculated values
density = 6.04 g/cm3
E = -302.78 eV/cell



The following is a PBE calculation of TmBeW after structural relaxation, from OQMD via LeMat-Bulk.

Cell: 6.444 6.444 6.444 Å, 90.00 90.00 90.00°
Space group F-43m (No. 216)
Symmetry-distinct sites (fractional):
Tm: 0.000 0.000 0.000 (multiplicity 4)
Be: 0.250 0.250 0.750 (multiplicity 4)
W: 0.250 0.250 0.250 (multiplicity 4)

Calculated values
M_tot = 2.762 μB/f.u.
density = 8.98 g/cm3
energy above the most stable polymorph in this dataset = 1.063 eV per atom



The following is a PBE calculation of Dy3Ho2Hg3 after structural relaxation, from OQMD via LeMat-Bulk.

Cell: 5.519 7.235 10.765 Å, 90.00 90.00 90.00°
Space group Amm2 (No. 38)
Symmetry-distinct sites (fractional):
Dy: 0.000 0.000 0.000 (multiplicity 2)
Dy: 0.500 0.244 0.935 (multiplicity 4)
Ho: 0.000 0.000 0.550 (multiplicity 2)
Ho: 0.500 0.000 0.190 (multiplicity 2)
Hg: 0.000 0.214 0.275 (multiplicity 4)
Hg: 0.500 0.000 0.688 (multiplicity 2)

Calculated values
M_tot = 0.105 μB/f.u.
density = 10.96 g/cm3
energy above the most stable polymorph in this dataset = 0.099 eV per atom
formation enthalpy at 0 K = -0.1761 eV/atom